Record 1
This record from the Alexandria database describes a relaxed structure of Tb6PmSm2Y2. The functional is GGA-PBE.

Output
As for the crystal system: monoclinic. The calculated formation energy comes out at 0.156 eV/atom.

Unit cell a=6.7108 b=6.7108 c=11.9821 alpha=101.69 beta=101.69 gamma=129.60
Atoms (fractional coordinates):
Tb (0.7092, 0.7092, 0.7087)
Tb (0.1487, 0.4500, 0.7990)
Tb (0.2908, 0.2908, 0.2913)
Tb (0.4500, 0.1487, 0.7990)
Tb (0.8513, 0.5500, 0.2010)
Tb (0.5500, 0.8513, 0.2010)
Pm (0.0000, 0.0000, 0.5000)
Sm (0.2942, 0.7058, 0.5000)
Sm (0.7058, 0.2942, 0.5000)
Y (0.8659, 0.1341, 0.0000)
Y (0.1341, 0.8659, 0.0000)


Record 2
This record from the Alexandria database describes a relaxed structure of TbPm2Sm5Y. The functional is GGA-PBE.

Output
As for the crystal system: tetragonal. The calculated formation energy comes out at 0.276 eV/atom.

Unit cell a=8.6962 b=8.6962 c=10.1511 alpha=115.36 beta=115.36 gamma=90.00
Atoms (fractional coordinates):
Tb (0.2500, 0.2500, 0.5000)
Tb (0.7500, 0.7500, 0.5000)
Pm (0.1190, 0.3810, 0.0000)
Pm (0.6190, 0.1190, 0.0000)
Pm (0.3810, 0.8810, 0.0000)
Pm (0.8810, 0.6190, 0.0000)
Sm (0.9273, 0.4273, 0.2812)
Sm (0.6461, 0.1461, 0.7188)
Sm (0.0727, 0.5727, 0.7188)
Sm (0.1461, 0.0727, 0.7188)
Sm (0.5727, 0.6461, 0.7188)
Sm (0.8539, 0.9273, 0.2812)
Sm (0.4273, 0.3539, 0.2812)
Sm (0.3539, 0.8539, 0.2812)
Sm (0.5000, 0.5000, 0.0000)
Sm (0.0000, 0.0000, 0.0000)
Y (0.2500, 0.7500, 0.5000)
Y (0.7500, 0.2500, 0.5000)


Record 3
This record from the Alexandria database describes a relaxed structure of TbPm6SmY2. The functional is GGA-PBE.

Output
As for the crystal system: monoclinic. The calculated formation energy comes out at 0.119 eV/atom.

Unit cell a=9.6106 b=8.9571 c=8.9571 alpha=117.12 beta=93.48 gamma=93.48
Atoms (fractional coordinates):
Tb (0.2500, 0.9676, 0.0324)
Tb (0.7500, 0.0324, 0.9676)
Pm (0.0567, 0.1130, 0.7613)
Pm (0.4433, 0.2387, 0.8870)
Pm (0.9433, 0.8870, 0.2387)
Pm (0.5567, 0.7613, 0.1130)
Pm (0.3151, 0.9873, 0.4371)
Pm (0.1849, 0.5629, 0.0127)
Pm (0.6849, 0.0127, 0.5629)
Pm (0.8151, 0.4371, 0.9873)
Pm (0.1174, 0.7064, 0.4833)
Pm (0.3826, 0.5167, 0.2936)
Pm (0.8826, 0.2936, 0.5167)
Pm (0.6174, 0.4833, 0.7064)
Sm (0.2500, 0.4088, 0.5912)
Sm (0.7500, 0.5912, 0.4088)
Y (0.4519, 0.8003, 0.7045)
Y (0.0481, 0.2955, 0.1997)
Y (0.5481, 0.1997, 0.2955)
Y (0.9519, 0.7045, 0.8003)


Record 4
This record from the Alexandria database describes a relaxed structure of TbPm2Sm2Y. The functional is GGA-PBE.

Output
As for the crystal system: orthorhombic. The calculated formation energy comes out at 0.055 eV/atom.

Unit cell a=5.7010 b=7.0895 c=9.8756 alpha=90.00 beta=90.00 gamma=90.00
Atoms (fractional coordinates):
Tb (0.5000, 0.2577, 0.6590)
Tb (0.5000, 0.7577, 0.3410)
Pm (0.0000, 0.2574, 0.8395)
Pm (0.5000, 0.2578, 0.3278)
Pm (0.0000, 0.7574, 0.1605)
Pm (0.5000, 0.7578, 0.6722)
Sm (0.5000, 0.0076, 0.0001)
Sm (0.0000, 0.2576, 0.1758)
Sm (0.5000, 0.5076, 0.9999)
Sm (0.0000, 0.7576, 0.8242)
Y (0.0000, 0.0076, 0.4999)
Y (0.0000, 0.5076, 0.5001)


Record 5
This record from the Alexandria database describes a relaxed structure of Tb5Pm2SmY. The functional is GGA-PBE.

Output
As for the crystal system: tetragonal. The calculated formation energy comes out at 0.270 eV/atom.

Unit cell a=8.7232 b=8.7232 c=9.9642 alpha=115.96 beta=115.96 gamma=90.00
Atoms (fractional coordinates):
Tb (0.9271, 0.4271, 0.2763)
Tb (0.6508, 0.1508, 0.7237)
Tb (0.0729, 0.5729, 0.7237)
Tb (0.1508, 0.0729, 0.7237)
Tb (0.5729, 0.6508, 0.7237)
Tb (0.8492, 0.9271, 0.2763)
Tb (0.4271, 0.3492, 0.2763)
Tb (0.3492, 0.8492, 0.2763)
Tb (0.5000, 0.5000, 0.0000)
Tb (0.0000, 0.0000, 0.0000)
Pm (0.1171, 0.3829, 0.0000)
Pm (0.6171, 0.1171, 0.0000)
Pm (0.3829, 0.8829, 0.0000)
Pm (0.8829, 0.6171, 0.0000)
Sm (0.2500, 0.2500, 0.5000)
Sm (0.7500, 0.7500, 0.5000)
Y (0.2500, 0.7500, 0.5000)
Y (0.7500, 0.2500, 0.5000)


Record 6
This record from the Alexandria database describes a relaxed structure of Tb4Pm2SmY2. The functional is GGA-PBE.

Output
As for the crystal system: monoclinic. The calculated formation energy comes out at -0.003 eV/atom.

Unit cell a=3.6234 b=9.5756 c=9.6263 alpha=115.23 beta=90.00 gamma=100.91
Atoms (fractional coordinates):
Tb (0.8144, 0.6289, 0.6644)
Tb (0.1856, 0.3711, 0.3356)
Tb (0.5189, 0.0379, 0.3348)
Tb (0.4811, 0.9621, 0.6652)
Pm (0.3335, 0.6670, 0.9993)
Pm (0.6665, 0.3330, 0.0007)
Sm (0.0000, 0.0000, 0.0000)
Y (0.8528, 0.7057, 0.3358)
Y (0.1472, 0.2943, 0.6642)


Record 7
This record from the Alexandria database describes a relaxed structure of Tb3Pm2SmY6. The functional is GGA-PBE.

Output
As for the crystal system: monoclinic. The calculated formation energy comes out at 0.016 eV/atom.

Unit cell a=6.2156 b=6.2156 c=11.8501 alpha=94.99 beta=94.99 gamma=119.97
Atoms (fractional coordinates):
Tb (0.1666, 0.8334, 0.5000)
Tb (0.8334, 0.1666, 0.5000)
Tb (0.5000, 0.5000, 0.5000)
Pm (0.3333, 0.6667, 0.0000)
Pm (0.6667, 0.3333, 0.0000)
Sm (0.0000, 0.0000, 0.0000)
Y (0.9160, 0.5827, 0.7481)
Y (0.7508, 0.7508, 0.2520)
Y (0.0840, 0.4173, 0.2519)
Y (0.5827, 0.9160, 0.7481)
Y (0.2492, 0.2492, 0.7480)
Y (0.4173, 0.0840, 0.2519)


Record 8
This record from the Alexandria database describes a relaxed structure of TbPmSm3Y. The functional is GGA-PBE.

Output
As for the crystal system: orthorhombic. The calculated formation energy comes out at 0.115 eV/atom.

Unit cell a=5.8478 b=6.5086 c=11.7993 alpha=90.00 beta=90.00 gamma=116.69
Atoms (fractional coordinates):
Tb (0.0000, 0.0000, 0.5000)
Tb (0.0000, 0.0000, 0.0000)
Pm (0.5266, 0.0532, 0.7500)
Pm (0.4734, 0.9468, 0.2500)
Sm (0.6728, 0.3456, 0.4686)
Sm (0.3272, 0.6544, 0.5314)
Sm (0.3272, 0.6544, 0.9686)
Sm (0.6728, 0.3456, 0.0314)
Sm (0.1333, 0.2666, 0.7500)
Sm (0.8667, 0.7334, 0.2500)
Y (0.8285, 0.6569, 0.7500)
Y (0.1715, 0.3431, 0.2500)


Record 9
This record from the Alexandria database describes a relaxed structure of TbPm2Sm2Y4. The functional is GGA-PBE.

Output
As for the crystal system: monoclinic. The calculated formation energy comes out at -0.001 eV/atom.

Unit cell a=3.6315 b=9.6009 c=9.6593 alpha=115.23 beta=90.00 gamma=100.90
Atoms (fractional coordinates):
Tb (0.0000, 0.0000, 0.0000)
Pm (0.3343, 0.6686, 0.0001)
Pm (0.6657, 0.3314, 0.9999)
Sm (0.8521, 0.7042, 0.3352)
Sm (0.1479, 0.2958, 0.6648)
Y (0.8150, 0.6300, 0.6657)
Y (0.1850, 0.3700, 0.3343)
Y (0.5191, 0.0382, 0.3330)
Y (0.4809, 0.9618, 0.6670)


Record 10
This record from the Alexandria database describes a relaxed structure of Tb2Pm6SmY. The functional is GGA-PBE.

Output
As for the crystal system: monoclinic. The calculated formation energy comes out at 0.113 eV/atom.

Unit cell a=9.7241 b=8.9475 c=8.9475 alpha=118.01 beta=93.97 gamma=93.97
Atoms (fractional coordinates):
Tb (0.4553, 0.8001, 0.7001)
Tb (0.0447, 0.2999, 0.1999)
Tb (0.5447, 0.1999, 0.2999)
Tb (0.9553, 0.7001, 0.8001)
Pm (0.0548, 0.1183, 0.7562)
Pm (0.4452, 0.2438, 0.8817)
Pm (0.9452, 0.8817, 0.2438)
Pm (0.5548, 0.7562, 0.1183)
Pm (0.3152, 0.9847, 0.4338)
Pm (0.1848, 0.5662, 0.0153)
Pm (0.6848, 0.0153, 0.5662)
Pm (0.8152, 0.4338, 0.9847)
Pm (0.1200, 0.7079, 0.4922)
Pm (0.3800, 0.5078, 0.2921)
Pm (0.8800, 0.2921, 0.5078)
Pm (0.6200, 0.4922, 0.7079)
Sm (0.2500, 0.9744, 0.0256)
Sm (0.7500, 0.0256, 0.9744)
Y (0.2500, 0.4091, 0.5909)
Y (0.7500, 0.5909, 0.4091)


Record 11
This record from the Alexandria database describes a relaxed structure of Tb3PmSmY. The functional is GGA-PBE.

Output
As for the crystal system: monoclinic. The calculated formation energy comes out at 0.195 eV/atom.

Unit cell a=5.7145 b=10.3386 c=7.0053 alpha=89.97 beta=90.00 gamma=106.04
Atoms (fractional coordinates):
Tb (0.8355, 0.6710, 0.2636)
Tb (0.7806, 0.5612, 0.7576)
Tb (0.4791, 0.9582, 0.2564)
Tb (0.2194, 0.4388, 0.2424)
Tb (0.5209, 0.0418, 0.7436)
Tb (0.1645, 0.3290, 0.7364)
Pm (0.3543, 0.7086, 0.9745)
Pm (0.6457, 0.2914, 0.0255)
Sm (0.0538, 0.1076, 0.2576)
Sm (0.9462, 0.8924, 0.7424)
Y (0.6496, 0.2993, 0.4608)
Y (0.3504, 0.7007, 0.5392)


Record 12
This record from the Alexandria database describes a relaxed structure of TbPm3Sm2Y6. The functional is GGA-PBE.

Output
As for the crystal system: monoclinic. The calculated formation energy comes out at 0.013 eV/atom.

Unit cell a=6.2422 b=6.2422 c=11.8673 alpha=95.01 beta=95.01 gamma=119.97
Atoms (fractional coordinates):
Tb (0.0000, 0.0000, 0.0000)
Pm (0.1666, 0.8334, 0.5000)
Pm (0.8334, 0.1666, 0.5000)
Pm (0.5000, 0.5000, 0.5000)
Sm (0.3335, 0.6665, 0.0000)
Sm (0.6665, 0.3335, 0.0000)
Y (0.9170, 0.5839, 0.7511)
Y (0.7500, 0.7500, 0.2491)
Y (0.0830, 0.4161, 0.2489)
Y (0.5839, 0.9170, 0.7511)
Y (0.2500, 0.2500, 0.7509)
Y (0.4161, 0.0830, 0.2489)